Below is a PBEsol-optimized structure of Ta3MoP, with properties calculated at the meta-GGA SCAN level.

Calculated values
Energy of formation   1.608 eV per atom

```
Ta3MoP
1.0
-3.0270 -3.2323 1.7211
2.2430 -3.4016 -2.4435
2.8946 -0.7443 3.6932
P Mo Ta
1 1 3
direct
0.5000 0.5000 0.5000
0.0000 0.0000 0.0000
0.0000 0.5000 0.0000
0.0000 0.0000 0.5000
0.5000 0.0000 0.0000
```

Below is a PBEsol-optimized structure of LiNi2P4H3O14, with properties calculated at the meta-GGA SCAN level.

Calculated values
E_tot   -9.3093 eV/atom

```
LiNi2P4H3O14
1.0
8.3404 0.0455 -0.0221
-1.2948 8.2394 -0.0221
-3.1260 -3.6759 7.3760
Li Ni P H O
2 4 8 6 28
direct
0.6449 0.3609 0.2519
0.3609 0.6449 0.7519
0.0015 0.5017 0.9997
0.5946 0.4083 0.7498
0.4083 0.5946 0.2498
0.5017 0.0015 0.4997
0.8569 0.2860 0.5676
0.7657 0.6849 0.1830
0.7178 0.1464 0.9320
0.6849 0.7657 0.6830
0.3184 0.2374 0.3171
0.2860 0.8569 0.0676
0.2374 0.3184 0.8171
0.1464 0.7178 0.4320
0.5051 0.0059 0.0017
0.9559 0.7253 0.7983
0.7253 0.9559 0.2983
0.2785 0.0483 0.7033
0.0483 0.2785 0.2033
0.0059 0.5051 0.5017
0.9049 0.2891 0.0474
0.9542 0.7463 0.3585
0.7900 0.5837 0.0140
0.8656 0.3830 0.4508
0.6214 0.1392 0.0506
0.7371 0.8644 0.1883
0.7142 0.0983 0.4525
0.8312 0.3989 0.7324
0.8644 0.7371 0.6883
0.6247 0.5672 0.2022
0.6038 0.1716 0.7676
0.7463 0.9542 0.8585
0.5837 0.7900 0.5140
0.4360 0.3781 0.2975
0.5672 0.6247 0.7022
0.4200 0.2133 0.4863
0.2556 0.0486 0.1422
0.3989 0.8312 0.2324
0.3781 0.4360 0.7975
0.1396 0.2673 0.3131
0.1716 0.6038 0.2676
0.2891 0.9049 0.5474
0.2673 0.1396 0.8131
0.3830 0.8656 0.9508
0.1392 0.6214 0.5506
0.2133 0.4200 0.9863
0.0486 0.2556 0.6422
0.0983 0.7142 0.9525
```

Below is a PBEsol-optimized structure of TlAu2, with properties calculated at the meta-GGA SCAN level.

Calculated values
ΔE to the lowest computed polymorph   0.012 eV/atom
Energy of formation   0.022 eV per atom

```
TlAu2
1.0
-0.5176 -1.6950 -3.4059
3.3141 -1.8889 0.4364
-2.2144 -3.4148 2.0360
Tl Au
1 2
direct
0.0000 0.0000 0.0000
0.0000 0.5000 0.5000
0.5000 0.0000 0.5000
```

Below is a PBEsol-optimized structure of ZrAgSe2, with properties calculated at the meta-GGA SCAN level.

Calculated values
ΔE_f (raw)   -0.54 eV per atom

```
ZrAgSe2
1.0
-1.4122 -3.4410 -0.9649
1.3923 0.4258 -3.5562
4.3791 -0.6913 3.7078
Ag Se Zr
1 2 1
direct
0.2500 0.7500 0.5000
0.0000 0.0000 0.0000
0.7500 0.2500 0.5000
0.5000 0.5000 0.0000
```

Below is a PBEsol-optimized structure of CsBaIn3, with properties calculated at the meta-GGA SCAN level.

Calculated values
Energy of formation   0.576 eV per atom

```
CsBaIn3
1.0
-1.8876 -4.6604 -3.4697
1.6877 -3.9307 4.3615
-5.5596 0.3891 2.5020
Cs Ba In
1 1 3
direct
0.0000 0.0000 0.0000
0.5000 0.5000 0.5000
0.0000 0.5000 0.0000
0.0000 0.0000 0.5000
0.5000 0.0000 0.0000
```

Below is a PBEsol-optimized structure of ZrCu, with properties calculated at the meta-GGA SCAN level.

Calculated values
Energy of formation   -0.202 eV per atom

```
ZrCu
1.0
-0.7624 4.9236 -1.4132
-2.8346 -0.4971 4.3056
4.9185 0.4018 2.1630
Cu Zr
4 4
direct
0.8985 0.8985 0.4570
0.3170 0.3170 0.4656
0.0391 0.5396 0.1762
0.5396 0.0391 0.1762
0.0001 0.0001 0.0008
0.4977 0.4977 0.0210
0.4226 0.8702 0.6163
0.8702 0.4226 0.6163
```

Magnetic moment across the listed records, respectively: 0.00, 8.16, 0.00, 0.00, 0.00, 0.00 μB per cell.